ZnCl2 | PBE | optimized geometry

CIF file:
```
data_ZnCl2
_chemical_formula_sum 'Zn4 Cl8'
_space_group_name_H-M_alt 'P 1'
_space_group_IT_number 1
_cell_length_a 5.943
_cell_length_b 5.980
_cell_length_c 8.519
_cell_angle_alpha 90.00
_cell_angle_beta 90.00
_cell_angle_gamma 90.00
loop_
_space_group_symop_operation_xyz
'x,y,z'
loop_
_atom_site_label
_atom_site_type_symbol
_atom_site_fract_x
_atom_site_fract_y
_atom_site_fract_z
_atom_site_occupancy
Cl1 Cl 0.967 0.267 0.363 1
Cl2 Cl 0.472 0.230 0.114 1
Zn1 Zn 0.406 0.853 0.625 1
Cl3 Cl 0.528 0.730 0.386 1
Cl4 Cl 0.533 0.733 0.863 1
Zn2 Zn 0.094 0.147 0.125 1
Cl5 Cl 0.467 0.233 0.637 1
Cl6 Cl 0.972 0.270 0.886 1
Cl7 Cl 0.028 0.770 0.614 1
Zn3 Zn 0.906 0.647 0.375 1
Zn4 Zn 0.594 0.353 0.875 1
Cl8 Cl 0.033 0.767 0.137 1
```

Computed properties:
* VASP energy: -2.772 eV per atom
* space group: No. 19

=====

TmSe2BrCl | PBE | optimized geometry

CIF file:
```
data_TmSe2BrCl
_chemical_formula_sum 'Tm2 Se4 Br2 Cl2'
_space_group_name_H-M_alt 'P 1'
_space_group_IT_number 1
_cell_length_a 7.123
_cell_length_b 7.580
_cell_length_c 7.886
_cell_angle_alpha 115.17
_cell_angle_beta 91.22
_cell_angle_gamma 116.23
loop_
_space_group_symop_operation_xyz
'x,y,z'
loop_
_atom_site_label
_atom_site_type_symbol
_atom_site_fract_x
_atom_site_fract_y
_atom_site_fract_z
_atom_site_occupancy
Br1 Br 0.585 0.608 0.258 1
Cl1 Cl 0.113 0.669 0.239 1
Cl2 Cl 0.887 0.331 0.761 1
Se1 Se 0.759 0.033 0.053 1
Se2 Se 0.241 0.967 0.947 1
Tm1 Tm 0.162 0.336 0.000 1
Se3 Se 0.061 0.157 0.276 1
Se4 Se 0.939 0.843 0.724 1
Tm2 Tm 0.838 0.664 0.000 1
Br2 Br 0.415 0.392 0.742 1
```

Computed properties:
* VASP energy: -4.372 eV per atom
* space group: No. 2
* size of the total moment: 0.0 μB/cell

=====

What is the VASP energy in the first record?
-2.772 eV per atom

=====

Please write out number 1 again, unchanged.
ZnCl2 | PBE | optimized geometry

CIF file:
```
data_ZnCl2
_chemical_formula_sum 'Zn4 Cl8'
_space_group_name_H-M_alt 'P 1'
_space_group_IT_number 1
_cell_length_a 5.943
_cell_length_b 5.980
_cell_length_c 8.519
_cell_angle_alpha 90.00
_cell_angle_beta 90.00
_cell_angle_gamma 90.00
loop_
_space_group_symop_operation_xyz
'x,y,z'
loop_
_atom_site_label
_atom_site_type_symbol
_atom_site_fract_x
_atom_site_fract_y
_atom_site_fract_z
_atom_site_occupancy
Cl1 Cl 0.967 0.267 0.363 1
Cl2 Cl 0.472 0.230 0.114 1
Zn1 Zn 0.406 0.853 0.625 1
Cl3 Cl 0.528 0.730 0.386 1
Cl4 Cl 0.533 0.733 0.863 1
Zn2 Zn 0.094 0.147 0.125 1
Cl5 Cl 0.467 0.233 0.637 1
Cl6 Cl 0.972 0.270 0.886 1
Cl7 Cl 0.028 0.770 0.614 1
Zn3 Zn 0.906 0.647 0.375 1
Zn4 Zn 0.594 0.353 0.875 1
Cl8 Cl 0.033 0.767 0.137 1
```

Computed properties:
* VASP energy: -2.772 eV per atom
* space group: No. 19